Version A
Li4Ti3O8: relaxed, PBE.

```
Li4Ti3O8
1.0
5.0853 -2.9791 0.0000
5.0853 2.9791 0.0000
-3.5647 0.0000 4.8768
Li Ti O
4 3 8
Direct
0.0000 0.0000 0.0000
0.0000 0.5000 0.0000
0.5000 0.0000 0.0000
0.5000 0.5000 0.5000
0.0000 0.0000 0.5000
0.0000 0.5000 0.5000
0.5000 0.0000 0.5000
0.2170 0.7563 0.7145
0.2436 0.2436 0.7248
0.2437 0.7830 0.2855
0.2497 0.2497 0.2822
0.7503 0.7503 0.7178
0.7563 0.2170 0.7145
0.7564 0.7564 0.2752
0.7830 0.2437 0.2855
```

## Properties
As for the symmetry: C2/m.

Version B
Li4Ti3O8: relaxed, PBE.

```
Li4Ti3O8
1.0
2.9496 1.7029 4.8000
-2.9496 1.7029 4.8000
0.0000 -3.4059 4.8000
Li Ti O
4 3 8
Direct
0.0000 0.0000 0.0000
0.0000 0.5000 0.5000
0.5000 0.0000 0.5000
0.5000 0.5000 0.0000
0.0000 0.0000 0.5000
0.0000 0.5000 0.0000
0.5000 0.0000 0.0000
0.2135 0.7546 0.7546
0.2454 0.2454 0.7865
0.2454 0.7865 0.2454
0.2459 0.2459 0.2459
0.7541 0.7541 0.7541
0.7546 0.2135 0.7546
0.7546 0.7546 0.2135
0.7865 0.2454 0.2454
```

## Properties
As for the symmetry: R-3m.

It is version A that is most stable; the runner-up trails by 38 meV/atom.